[1]
! Cs2GeBr5, optimized geometry, DFT GGA-PBE; values from VASP
&SYSTEM
  ibrav = 0, nat = 16, ntyp = 3
/
ATOMIC_SPECIES
Cs 132.91 Cs.upf
Ge 72.64 Ge.upf
Br 79.90 Br.upf
CELL_PARAMETERS angstrom
8.095 0.000 0.000
0.000 8.095 0.000
0.000 0.000 10.333
ATOMIC_POSITIONS angstrom
Cs 0.000 4.048 0.000
Cs 0.000 4.048 5.167
Cs 4.048 0.000 0.000
Cs 4.048 0.000 5.167
Ge 0.000 0.000 2.947
Ge 4.048 4.048 8.114
Br 0.000 0.000 5.385
Br 1.848 1.848 2.545
Br 1.848 6.247 2.545
Br 2.200 2.200 7.712
Br 2.200 5.896 7.712
Br 4.048 4.048 0.219
Br 5.896 2.200 7.712
Br 5.896 5.896 7.712
Br 6.247 1.848 2.545
Br 6.247 6.247 2.545
! - Density: 3.62 Mg/m³
! - SG: I4mm (107)
! - Formation energy without anion corrections: -898 kJ/mol of formula units
! - N(E_F): 0.589 states/eV per atom

=====

[2]
! CsGe3Br6, optimized geometry, DFT GGA-PBE; values from VASP
&SYSTEM
  ibrav = 0, nat = 10, ntyp = 3
/
ATOMIC_SPECIES
Cs 132.91 Cs.upf
Ge 72.64 Ge.upf
Br 79.90 Br.upf
CELL_PARAMETERS angstrom
4.126 2.382 6.486
-4.126 2.382 6.486
0.000 -4.765 6.486
ATOMIC_POSITIONS angstrom
Cs 0.000 0.000 0.000
Ge 0.000 0.000 4.556
Ge 0.000 0.000 7.397
Ge 0.000 0.000 14.833
Br -0.081 -2.341 3.401
Br -1.987 1.241 3.401
Br 2.068 1.100 3.401
Br -1.922 1.025 13.137
Br 0.073 -2.177 13.137
Br 1.849 1.152 13.137
! - Density: 3.60 Mg/m³
! - SG: R3 (146)
! - Formation energy without anion corrections: -644 kJ/mol of formula units
! - N(E_F): 0.374 states/eV per atom

=====

[3]
! CsGeBr5, optimized geometry, DFT GGA-PBE; values from VASP
&SYSTEM
  ibrav = 0, nat = 14, ntyp = 3
/
ATOMIC_SPECIES
Cs 132.91 Cs.upf
Ge 72.64 Ge.upf
Br 79.90 Br.upf
CELL_PARAMETERS angstrom
7.958 0.000 0.000
0.000 8.703 0.000
0.000 0.000 9.976
ATOMIC_POSITIONS angstrom
Cs 0.000 0.000 0.000
Cs 3.979 4.352 4.988
Ge 0.000 4.352 2.995
Ge 3.979 0.000 7.983
Br 0.000 1.841 3.111
Br 0.000 4.352 5.410
Br 0.000 6.863 3.111
Br 1.961 0.000 6.717
Br 2.018 4.352 1.729
Br 3.979 0.000 0.422
Br 3.979 2.511 8.099
Br 3.979 6.193 8.099
Br 5.940 4.352 1.729
Br 5.997 0.000 6.717
! - Density: 2.91 Mg/m³
! - SG: Imm2 (44)
! - Formation energy without anion corrections: -571 kJ/mol of formula units

=====

[4]
! Cs2GeHBr6, optimized geometry, DFT GGA-PBE; values from VASP
&SYSTEM
  ibrav = 0, nat = 10, ntyp = 4
/
ATOMIC_SPECIES
Cs 132.91 Cs.upf
Ge 72.64 Ge.upf
H 1.01 H.upf
Br 79.90 Br.upf
CELL_PARAMETERS angstrom
-3.604 3.604 6.081
3.604 -3.604 6.081
3.604 3.604 -6.081
ATOMIC_POSITIONS angstrom
Cs 3.604 0.000 3.040
Cs 0.000 3.604 3.040
Ge 0.000 0.000 0.000
H 0.000 0.000 6.081
Br 0.000 0.000 2.611
Br 1.848 1.848 0.000
Br 1.757 -1.757 6.081
Br -1.757 1.757 6.081
Br 1.757 1.757 6.081
Br 0.000 0.000 9.550
! - Density: 4.30 Mg/m³
! - SG: I4/mmm (139)
! - N(E_F): 0.201 states/eV per atom

=====

[5]
! CsLiGeHBr, optimized geometry, DFT GGA-PBE; values from VASP
&SYSTEM
  ibrav = 0, nat = 5, ntyp = 5
/
ATOMIC_SPECIES
Cs 132.91 Cs.upf
Li 6.94 Li.upf
Ge 72.64 Ge.upf
H 1.01 H.upf
Br 79.90 Br.upf
CELL_PARAMETERS angstrom
6.088 0.000 0.000
0.000 3.585 0.000
-0.636 0.000 7.214
ATOMIC_POSITIONS angstrom
Cs 0.000 0.000 0.000
Li 2.086 0.000 4.531
Ge -0.005 1.793 3.303
H 5.329 1.793 4.730
Br 2.434 1.793 6.257
! - Density: 3.09 Mg/m³
! - SG: Pm (6)
! - Energy relative to the lowest polymorph listed for this composition: 107 meV/atom
! - N(E_F): 0.184 states/eV per atom

=====

[6]
! CsLiGeHBr, optimized geometry, DFT GGA-PBE; values from VASP
&SYSTEM
  ibrav = 0, nat = 10, ntyp = 5
/
ATOMIC_SPECIES
Cs 132.91 Cs.upf
Li 6.94 Li.upf
Ge 72.64 Ge.upf
H 1.01 H.upf
Br 79.90 Br.upf
CELL_PARAMETERS angstrom
16.014 0.000 0.000
0.000 3.651 0.000
-0.332 0.000 5.778
ATOMIC_POSITIONS angstrom
Cs 0.000 0.000 0.000
Cs 8.007 1.826 0.000
Li 2.956 1.826 3.589
Li 10.962 0.000 3.589
Ge 4.024 0.000 5.565
Ge 12.030 1.826 5.565
H 3.642 0.000 3.918
H 11.649 1.826 3.918
Br 0.635 1.826 2.924
Br 8.642 0.000 2.924
! - Density: 2.88 Mg/m³
! - SG: Cm (8)
! - Energy relative to the lowest polymorph listed for this composition: 127 meV/atom
! - N(E_F): 0.221 states/eV per atom

=====

[7]
! CsLiGeHBr, optimized geometry, DFT GGA-PBE; values from VASP
&SYSTEM
  ibrav = 0, nat = 5, ntyp = 5
/
ATOMIC_SPECIES
Cs 132.91 Cs.upf
Li 6.94 Li.upf
Ge 72.64 Ge.upf
H 1.01 H.upf
Br 79.90 Br.upf
CELL_PARAMETERS angstrom
3.584 0.000 0.000
-0.196 4.775 0.000
-0.867 -2.300 8.253
ATOMIC_POSITIONS angstrom
Cs 0.000 0.000 0.000
Li 2.639 0.269 4.454
Ge 1.761 2.260 2.627
H 1.804 3.855 2.991
Br 0.834 0.079 6.205
! - Density: 3.45 Mg/m³
! - SG: P1 (1)
! - Energy relative to the lowest polymorph listed for this composition: 80 meV/atom
! - N(E_F): 0.240 states/eV per atom

=====

[8]
! CsLiGeHBr, optimized geometry, DFT GGA-PBE; values from VASP
&SYSTEM
  ibrav = 0, nat = 10, ntyp = 5
/
ATOMIC_SPECIES
Cs 132.91 Cs.upf
Li 6.94 Li.upf
Ge 72.64 Ge.upf
H 1.01 H.upf
Br 79.90 Br.upf
CELL_PARAMETERS angstrom
3.872 0.000 0.000
0.000 4.025 0.000
0.000 0.000 17.165
ATOMIC_POSITIONS angstrom
Cs 0.000 0.000 0.000
Cs 1.936 2.012 8.583
Li 0.000 2.012 13.264
Li 1.936 0.000 4.682
Ge 0.000 0.000 11.145
Ge 1.936 2.012 2.562
H 0.000 0.000 12.775
H 1.936 2.012 4.192
Br 0.000 0.000 6.333
Br 1.936 2.012 14.916
! - Density: 3.64 Mg/m³
! - SG: Imm2 (44)
! - Energy relative to the lowest polymorph listed for this composition: 27 meV/atom
! - N(E_F): 0.222 states/eV per atom

=====

[9]
! CsLiGeHBr, optimized geometry, DFT GGA-PBE; values from VASP
&SYSTEM
  ibrav = 0, nat = 5, ntyp = 5
/
ATOMIC_SPECIES
Cs 132.91 Cs.upf
Li 6.94 Li.upf
Ge 72.64 Ge.upf
H 1.01 H.upf
Br 79.90 Br.upf
CELL_PARAMETERS angstrom
3.951 0.000 0.000
0.000 3.711 0.000
-1.970 0.000 8.763
ATOMIC_POSITIONS angstrom
Cs 0.000 0.000 0.000
Li 0.056 0.000 4.621
Ge 1.981 1.855 2.682
H 1.958 1.855 4.285
Br 0.005 1.855 6.483
! - Density: 3.79 Mg/m³
! - SG: Pm (6)
! - Energy relative to the lowest polymorph listed for this composition: 56 meV/atom
! - N(E_F): 0.125 states/eV per atom

=====

[10]
! CsLiGeHBr, optimized geometry, DFT GGA-PBE; values from VASP
&SYSTEM
  ibrav = 0, nat = 10, ntyp = 5
/
ATOMIC_SPECIES
Cs 132.91 Cs.upf
Li 6.94 Li.upf
Ge 72.64 Ge.upf
H 1.01 H.upf
Br 79.90 Br.upf
CELL_PARAMETERS angstrom
7.077 0.000 0.000
0.000 3.932 0.000
-2.293 0.000 9.120
ATOMIC_POSITIONS angstrom
Cs 0.000 0.000 0.000
Cs 3.538 1.966 0.000
Li -1.189 1.966 4.999
Li 2.350 0.000 4.999
Ge 1.234 1.966 2.771
Ge 4.772 0.000 2.771
H 1.277 1.966 4.380
H 4.815 0.000 4.380
Br 0.017 0.000 6.469
Br 3.555 1.966 6.469
! - Density: 3.84 Mg/m³
! - SG: Cm (8)
! - Energy relative to the lowest polymorph listed for this composition: 85 meV/atom
! - N(E_F): 0.081 states/eV per atom

=====

[11]
! CsLiGeHBr, optimized geometry, DFT GGA-PBE; values from VASP
&SYSTEM
  ibrav = 0, nat = 5, ntyp = 5
/
ATOMIC_SPECIES
Cs 132.91 Cs.upf
Li 6.94 Li.upf
Ge 72.64 Ge.upf
H 1.01 H.upf
Br 79.90 Br.upf
CELL_PARAMETERS angstrom
5.134 0.000 0.000
2.509 4.578 0.000
0.936 0.459 6.698
ATOMIC_POSITIONS angstrom
Cs 0.000 0.000 0.000
Li 5.032 2.662 2.783
Ge 2.464 1.769 2.286
H 5.025 4.698 2.316
Br 3.488 2.008 4.728
! - Density: 3.09 Mg/m³
! - SG: P1 (1)
! - Energy relative to the lowest polymorph listed for this composition: 108 meV/atom

=====

[12]
! CsLiGeHBr, optimized geometry, DFT GGA-PBE; values from VASP
&SYSTEM
  ibrav = 0, nat = 5, ntyp = 5
/
ATOMIC_SPECIES
Cs 132.91 Cs.upf
Li 6.94 Li.upf
Ge 72.64 Ge.upf
H 1.01 H.upf
Br 79.90 Br.upf
CELL_PARAMETERS angstrom
5.114 0.000 0.000
2.536 4.493 0.000
1.788 1.089 6.888
ATOMIC_POSITIONS angstrom
Cs 0.000 0.000 0.000
Li 2.807 1.943 2.828
Ge 5.369 2.803 2.349
H 5.381 4.448 2.380
Br 4.335 2.596 4.780
! - Density: 3.08 Mg/m³
! - SG: P1 (1)
! - Energy relative to the lowest polymorph listed for this composition: 115 meV/atom

=====

Number 1: raw total energy -3.00 eV per atom. Number 2: raw total energy -3.14 eV per atom. Number 3: raw total energy -2.82 eV per atom. Number 4: raw total energy -2.75 eV per atom. Number 5: raw total energy -2.93 eV per atom. Number 6: raw total energy -2.91 eV per atom. Number 7: raw total energy -2.96 eV per atom. Number 8: raw total energy -3.01 eV per atom. Number 9: raw total energy -2.98 eV per atom. Number 10: raw total energy -2.95 eV per atom. Number 11: raw total energy -2.93 eV per atom. Number 12: raw total energy -2.92 eV per atom.